Here is a relaxed NaSr5Ga2 crystal from the Alexandria database. Energies are from PBE.

The structure in extended XYZ format:
```
16
Lattice="-1.498 -0.332 -8.889 2.510 -8.664 -0.099 -7.919 2.335 5.824" Properties=species:S:1:pos:R:3 pbc="T T T"
Sr -0.523 -6.340 -1.142
Sr 0.000 0.000 0.000
Sr -6.383 -0.321 -2.022
Sr -4.860 -4.593 -0.477
Sr -6.085 1.399 2.440
Sr -4.561 -2.873 3.985
Sr -0.821 -8.060 -5.605
Sr 0.506 -4.498 -4.494
Sr -2.046 -2.068 -2.687
Sr -2.345 -3.788 -7.149
Ga 0.272 -5.734 -7.810
Ga -0.619 -1.321 -5.599
Ga 0.740 -3.262 -1.178
Ga 1.631 -7.675 -3.389
Na -3.706 -1.081 0.665
Na -3.200 -5.579 -3.829
```

Summary:
SG: No. 140
ΔE_f (eV per atom): -0.213

***

Here is a relaxed NaSr6Ga crystal from the Alexandria database. Energies are from PBE.

The structure in extended XYZ format:
```
8
Lattice="-5.436 -2.238 0.195 -0.437 1.554 5.656 -6.808 8.813 0.112" Properties=species:S:1:pos:R:3 pbc="T T T"
Sr -4.868 4.226 1.522
Sr -8.773 5.915 0.756
Sr -3.907 2.213 5.207
Sr -7.812 3.902 4.442
Sr -6.274 7.811 3.487
Sr -6.406 0.317 2.477
Ga 0.000 0.000 0.000
Na -2.936 -0.342 2.926
```

Summary:
SG: No. 139
ΔE_f (eV per atom): -0.059

***

Here is a relaxed Na2SrGa crystal from the Alexandria database. Energies are from PBE.

The structure in extended XYZ format:
```
4
Lattice="3.811 0.000 0.000 1.905 3.300 0.000 1.905 1.100 12.037" Properties=species:S:1:pos:R:3 pbc="T T T"
Na 5.716 3.300 3.734
Na 1.905 1.100 8.302
Sr 0.000 0.000 0.000
Ga 3.811 2.200 6.018
```

Summary:
SG: No. 166
ΔE_f (eV per atom): 0.214

***

Here is a relaxed NaSr2Ga2 crystal from the Alexandria database. Energies are from PBE.

The structure in extended XYZ format:
```
5
Lattice="-2.029 1.116 -4.109 3.814 -0.746 -2.086 -4.008 -7.378 -0.025" Properties=species:S:1:pos:R:3 pbc="T T T"
Ga -0.875 -3.227 -0.445
Ga 0.680 -4.897 -1.667
Sr -2.506 -4.941 -2.812
Sr 0.282 -2.067 -3.408
Na 0.000 0.000 0.000
```

Summary:
SG: No. 65
ΔE_f (eV per atom): -0.303
Offset from the most stable computed form (eV/f.u.): 0.00

***

Here is a relaxed Na2SrGa crystal from the Alexandria database. Energies are from PBE.

The structure in extended XYZ format:
```
8
Lattice="4.687 0.000 0.000 0.000 4.687 0.000 2.344 2.344 12.457" Properties=species:S:1:pos:R:3 pbc="T T T"
Na 5.859 5.683 9.343
Na 1.348 3.516 3.114
Na 3.516 3.692 9.343
Na 3.339 1.172 3.114
Sr 0.000 0.000 0.000
Sr 4.687 2.344 6.228
Ga 2.344 4.687 6.228
Ga 2.344 2.344 0.000
```

Summary:
SG: No. 122
ΔE_f (eV per atom): 0.037

***

Here is a relaxed Na2SrGa2 crystal from the Alexandria database. Energies are from PBE.

The structure in extended XYZ format:
```
10
Lattice="8.746 0.000 0.000 0.000 8.746 0.000 0.000 0.000 3.526" Properties=species:S:1:pos:R:3 pbc="T T T"
Na 7.718 5.401 0.000
Na 1.028 3.345 0.000
Na 5.401 1.028 0.000
Na 3.345 7.718 0.000
Sr 4.373 4.373 0.000
Sr 0.000 0.000 0.000
Ga 7.143 2.770 1.763
Ga 1.603 5.976 1.763
Ga 5.976 7.143 1.763
Ga 2.770 1.603 1.763
```

Summary:
SG: No. 127
ΔE_f (eV per atom): -0.031
Offset from the most stable computed form (eV/f.u.): 0.48

***

Here is a relaxed NaSr6Ga2 crystal from the Alexandria database. Energies are from PBE.

The structure in extended XYZ format:
```
18
Lattice="-6.827 5.349 -4.895 9.051 0.061 -4.153 -2.476 -9.646 0.039" Properties=species:S:1:pos:R:3 pbc="T T T"
Na 3.287 -4.792 -2.057
Na 0.000 0.000 0.000
Ga 1.824 1.668 -4.969
Ga -6.065 -2.801 -3.166
Ga -3.237 -1.495 -1.690
Ga -2.076 -5.903 -4.040
Sr 3.072 -8.222 -4.161
Sr -3.324 3.987 -4.849
Sr -5.388 0.509 -3.368
Sr 5.136 -4.744 -5.642
Sr -0.104 -7.295 -1.648
Sr 2.849 -1.410 -4.211
Sr -0.147 3.059 -7.362
Sr 0.846 -4.984 -5.512
Sr -3.101 -2.825 -4.799
Sr -1.097 0.749 -3.497
Sr -0.397 -3.164 -1.990
Sr 0.145 -1.071 -7.020
```

Summary:
SG: No. 71
ΔE_f (eV per atom): -0.175

***

Here is a relaxed Na2Sr9Ga3 crystal from the Alexandria database. Energies are from PBE.

The structure in extended XYZ format:
```
28
Lattice="-7.738 -1.582 -6.426 3.369 -7.538 5.958 -4.174 7.025 11.566" Properties=species:S:1:pos:R:3 pbc="T T T"
Sr -5.764 1.507 4.132
Sr -2.779 -3.601 6.966
Sr -5.408 0.197 -0.452
Sr -2.210 -0.032 8.409
Sr -9.721 2.441 3.771
Sr -6.115 -0.696 8.277
Sr -5.065 1.170 11.630
Sr -6.528 -3.862 5.940
Sr 1.177 -4.536 7.327
Sr -6.334 -2.063 2.689
Sr -1.809 -0.991 15.875
Sr -2.016 1.767 5.158
Sr -2.428 -1.399 2.821
Sr 0.257 -4.853 3.459
Sr -6.735 -1.104 -4.777
Sr -8.801 2.759 7.639
Sr -3.136 -2.291 11.550
Sr -3.479 -3.265 -0.532
Ga -4.232 -6.397 -1.382
Ga -4.272 -1.047 5.549
Ga -3.869 -0.791 -3.213
Ga -4.312 4.302 12.480
Ga -0.593 -3.089 9.671
Ga -7.951 0.995 1.427
Na -3.669 -4.968 3.101
Na -8.888 -0.707 5.750
Na -4.874 2.873 7.998
Na 0.345 -1.388 5.349
```

Summary:
SG: No. 15
ΔE_f (eV per atom): -0.123

***

Here is a relaxed Na2SrGa6 crystal from the Alexandria database. Energies are from PBE.

The structure in extended XYZ format:
```
9
Lattice="4.147 0.000 0.000 0.000 6.666 -3.849 0.000 0.000 7.697" Properties=species:S:1:pos:R:3 pbc="T T T"
Na 4.147 4.444 0.000
Na 0.000 2.222 3.849
Ga 2.074 6.666 -1.246
Ga 2.074 0.000 5.094
Ga 2.074 2.254 1.301
Ga 2.074 2.254 -1.301
Ga 2.074 4.412 2.547
Ga 2.074 4.412 5.150
Sr 0.000 0.000 7.697
```

Summary:
SG: No. 191
ΔE_f (eV per atom): -0.221

***

Here is a relaxed Na2SrGa2 crystal from the Alexandria database. Energies are from PBE.

The structure in extended XYZ format:
```
10
Lattice="8.269 0.000 0.000 0.000 8.269 0.000 0.000 0.000 4.338" Properties=species:S:1:pos:R:3 pbc="T T T"
Ga 3.210 7.345 0.000
Ga 5.058 0.924 0.000
Ga 7.345 5.058 0.000
Ga 0.924 3.210 0.000
Sr 4.134 4.134 0.000
Sr 0.000 0.000 0.000
Na 5.550 6.853 2.169
Na 2.719 1.415 2.169
Na 1.415 5.550 2.169
Na 6.853 2.719 2.169
```

Summary:
SG: No. 127
ΔE_f (eV per atom): -0.040
Offset from the most stable computed form (eV/f.u.): 0.43

***

Here is a relaxed Na3SrGa crystal from the Alexandria database. Energies are from PBE.

The structure in extended XYZ format:
```
5
Lattice="6.656 0.000 0.000 0.000 6.656 0.000 0.000 0.000 6.656" Properties=species:S:1:pos:R:3 pbc="T T T"
Ga 3.328 3.328 3.328
Na 0.000 0.000 3.328
Na 0.000 3.328 0.000
Na 3.328 0.000 0.000
Sr 0.000 0.000 0.000
```

Summary:
SG: No. 221
ΔE_f (eV per atom): 0.780
Offset from the most stable computed form (eV/f.u.): 3.27

***

Here is a relaxed NaSr2Ga2 crystal from the Alexandria database. Energies are from PBE.

The structure in extended XYZ format:
```
5
Lattice="6.206 0.000 0.000 0.000 6.206 0.000 3.103 3.103 4.455" Properties=species:S:1:pos:R:3 pbc="T T T"
Ga 6.206 6.206 3.240
Ga 3.103 3.103 1.215
Sr 3.103 6.206 2.227
Sr 6.206 3.103 2.227
Na 0.000 0.000 0.000
```

Summary:
SG: No. 139
ΔE_f (eV per atom): -0.155
Offset from the most stable computed form (eV/f.u.): 0.74